Record 1
A plane-wave DFT calculation with PBE was carried out for crystalline Pr4InCuHg2 at its relaxed geometry.

Geometry as CIF:
```
data_Pr4InCuHg2
_cell_length_a 5.4173
_cell_length_b 5.4173
_cell_length_c 26.4144
_cell_angle_alpha 90.00
_cell_angle_beta 90.00
_cell_angle_gamma 120.00
_space_group_name_H-M_alt 'R -3 m'
_space_group_IT_number 166
_space_group_name_Hall '-R 3 2"'
loop_
_atom_site_label
_atom_site_type_symbol
_atom_site_fract_x
_atom_site_fract_y
_atom_site_fract_z
_atom_site_occupancy
Pr1 Pr 0.0000 0.0000 0.1175 1
Pr2 Pr 0.0000 0.0000 0.3687 1
In1 In 0.0000 0.0000 0.5000 1
Cu1 Cu 0.0000 0.0000 0.0000 1
Hg1 Hg 0.0000 0.0000 0.2440 1
```

Summary:
The value obtained for the energy of formation from the pure elements is -2.929 eV/f.u.

Record 2
A plane-wave DFT calculation with PBE was carried out for crystalline PrInCuHg at its relaxed geometry.

Geometry as CIF:
```
data_PrInCuHg
_cell_length_a 7.174
_cell_length_b 7.174
_cell_length_c 7.174
_cell_angle_alpha 90.00
_cell_angle_beta 90.00
_cell_angle_gamma 90.00
_space_group_name_H-M_alt 'F -4 3 m'
_space_group_IT_number 216
_space_group_name_Hall 'F -4 2 3'
loop_
_atom_site_label
_atom_site_type_symbol
_atom_site_fract_x
_atom_site_fract_y
_atom_site_fract_z
_atom_site_occupancy
Pr1 Pr 0.000 0.000 0.000 1
In1 In 0.000 0.000 0.500 1
Cu1 Cu 0.250 0.250 0.750 1
Hg1 Hg 0.250 0.250 0.250 1
```

Summary:
The value obtained for the energy of formation from the pure elements is -1.170 eV/f.u.

Record 3
A plane-wave DFT calculation with PBE was carried out for crystalline InCuHg2Pt at its relaxed geometry.

Geometry as CIF:
```
data_InCuHg2Pt
_cell_length_a 5.268
_cell_length_b 5.268
_cell_length_c 4.896
_cell_angle_alpha 90.00
_cell_angle_beta 90.00
_cell_angle_gamma 90.00
_space_group_name_H-M_alt 'P 4/m m m'
_space_group_IT_number 123
_space_group_name_Hall '-P 4 2'
loop_
_atom_site_label
_atom_site_type_symbol
_atom_site_fract_x
_atom_site_fract_y
_atom_site_fract_z
_atom_site_occupancy
In1 In 0.000 0.000 0.000 1
Cu1 Cu 0.500 0.500 0.000 1
Hg1 Hg 0.000 0.500 0.500 1
Pt1 Pt 0.500 0.500 0.500 1
```

Summary:
The value obtained for the energy of formation from the pure elements is 1.264 eV/f.u.

Record 4
A plane-wave DFT calculation with PBE was carried out for crystalline PuInCuHg at its relaxed geometry.

Geometry as CIF:
```
data_PuInCuHg
_cell_length_a 7.077
_cell_length_b 7.077
_cell_length_c 7.077
_cell_angle_alpha 90.00
_cell_angle_beta 90.00
_cell_angle_gamma 90.00
_space_group_name_H-M_alt 'F -4 3 m'
_space_group_IT_number 216
_space_group_name_Hall 'F -4 2 3'
loop_
_atom_site_label
_atom_site_type_symbol
_atom_site_fract_x
_atom_site_fract_y
_atom_site_fract_z
_atom_site_occupancy
Pu1 Pu 0.000 0.000 0.000 1
In1 In 0.000 0.000 0.500 1
Cu1 Cu 0.250 0.250 0.750 1
Hg1 Hg 0.250 0.250 0.250 1
```

Summary:
The value obtained for the energy of formation from the pure elements is -0.162 eV/f.u.

Record 5
A plane-wave DFT calculation with PBE was carried out for crystalline RbInCuHg2 at its relaxed geometry.

Geometry as CIF:
```
data_RbInCuHg2
_cell_length_a 5.346
_cell_length_b 5.346
_cell_length_c 5.169
_cell_angle_alpha 90.00
_cell_angle_beta 90.00
_cell_angle_gamma 90.00
_space_group_name_H-M_alt 'P 4/m m m'
_space_group_IT_number 123
_space_group_name_Hall '-P 4 2'
loop_
_atom_site_label
_atom_site_type_symbol
_atom_site_fract_x
_atom_site_fract_y
_atom_site_fract_z
_atom_site_occupancy
Rb1 Rb 0.000 0.000 0.000 1
In1 In 0.500 0.500 0.000 1
Cu1 Cu 0.500 0.500 0.500 1
Hg1 Hg 0.000 0.500 0.500 1
```

Summary:
The value obtained for the energy of formation from the pure elements is -0.080 eV/f.u.

Record 6
A plane-wave DFT calculation with PBE was carried out for crystalline Rb2InCuHg6 at its relaxed geometry.

Geometry as CIF:
```
data_Rb2InCuHg6
_cell_length_a 11.124
_cell_length_b 11.145
_cell_length_c 7.849
_cell_angle_alpha 90.00
_cell_angle_beta 134.66
_cell_angle_gamma 90.00
_space_group_name_H-M_alt 'C 1 2/m 1'
_space_group_IT_number 12
_space_group_name_Hall '-C 2y'
loop_
_atom_site_label
_atom_site_type_symbol
_atom_site_fract_x
_atom_site_fract_y
_atom_site_fract_z
_atom_site_occupancy
Rb1 Rb 0.000 0.250 0.000 1
In1 In 0.000 0.000 0.500 1
Cu1 Cu 0.000 0.500 0.500 1
Hg1 Hg 0.000 0.264 0.500 1
Hg2 Hg 0.234 0.500 0.497 1
Hg3 Hg 0.235 0.500 0.971 1
```

Summary:
The value obtained for the energy of formation from the pure elements is -1.064 eV/f.u.

Record 7
A plane-wave DFT calculation with PBE was carried out for crystalline InCu2ReHg at its relaxed geometry.

Geometry as CIF:
```
data_InCu2ReHg
_cell_length_a 4.755
_cell_length_b 4.755
_cell_length_c 5.309
_cell_angle_alpha 90.00
_cell_angle_beta 90.00
_cell_angle_gamma 90.00
_space_group_name_H-M_alt 'P 4/m m m'
_space_group_IT_number 123
_space_group_name_Hall '-P 4 2'
loop_
_atom_site_label
_atom_site_type_symbol
_atom_site_fract_x
_atom_site_fract_y
_atom_site_fract_z
_atom_site_occupancy
In1 In 0.000 0.000 0.000 1
Cu1 Cu 0.000 0.500 0.500 1
Re1 Re 0.500 0.500 0.000 1
Hg1 Hg 0.000 0.000 0.500 1
```

Summary:
The value obtained for the energy of formation from the pure elements is 8.482 eV/f.u.

Record 8
A plane-wave DFT calculation with PBE was carried out for crystalline In2CuHgSe4 at its relaxed geometry.

Geometry as CIF:
```
data_In2CuHgSe4
_cell_length_a 8.740
_cell_length_b 8.757
_cell_length_c 12.107
_cell_angle_alpha 90.00
_cell_angle_beta 90.00
_cell_angle_gamma 90.00
_space_group_name_H-M_alt 'F m m 2'
_space_group_IT_number 42
_space_group_name_Hall 'F 2 -2'
loop_
_atom_site_label
_atom_site_type_symbol
_atom_site_fract_x
_atom_site_fract_y
_atom_site_fract_z
_atom_site_occupancy
In1 In 0.250 0.250 0.000 1
Cu1 Cu 0.000 0.000 0.250 1
Hg1 Hg 0.000 0.000 0.751 1
Se1 Se 0.000 0.229 0.367 1
Se2 Se 0.229 0.000 0.132 1
```

Summary:
Its calculated total energy is -3.324 eV per atom.

Record 9
A plane-wave DFT calculation with PBE was carried out for crystalline InCuSiHg2 at its relaxed geometry.

Geometry as CIF:
```
data_InCuSiHg2
_cell_length_a 5.047
_cell_length_b 5.047
_cell_length_c 5.473
_cell_angle_alpha 90.00
_cell_angle_beta 90.00
_cell_angle_gamma 90.00
_space_group_name_H-M_alt 'P 4/m m m'
_space_group_IT_number 123
_space_group_name_Hall '-P 4 2'
loop_
_atom_site_label
_atom_site_type_symbol
_atom_site_fract_x
_atom_site_fract_y
_atom_site_fract_z
_atom_site_occupancy
In1 In 0.000 0.000 0.000 1
Cu1 Cu 0.500 0.500 0.000 1
Si1 Si 0.000 0.000 0.500 1
Hg1 Hg 0.000 0.500 0.500 1
```

Summary:
Its calculated total energy is -1.960 eV per atom.

Record 10
A plane-wave DFT calculation with PBE was carried out for crystalline Sm4InCuHg2 at its relaxed geometry.

Geometry as CIF:
```
data_Sm4InCuHg2
_cell_length_a 5.3146
_cell_length_b 5.3146
_cell_length_c 25.9537
_cell_angle_alpha 90.00
_cell_angle_beta 90.00
_cell_angle_gamma 120.00
_space_group_name_H-M_alt 'R -3 m'
_space_group_IT_number 166
_space_group_name_Hall '-R 3 2"'
loop_
_atom_site_label
_atom_site_type_symbol
_atom_site_fract_x
_atom_site_fract_y
_atom_site_fract_z
_atom_site_occupancy
Sm1 Sm 0.0000 0.0000 0.1176 1
Sm2 Sm 0.0000 0.0000 0.3686 1
In1 In 0.0000 0.0000 0.5000 1
Cu1 Cu 0.0000 0.0000 0.0000 1
Hg1 Hg 0.0000 0.0000 0.2446 1
```

Summary:
The value obtained for the energy of formation from the pure elements is -2.995 eV/f.u.

Record 11
A plane-wave DFT calculation with PBE was carried out for crystalline InCuSn2Hg at its relaxed geometry.

Geometry as CIF:
```
data_InCuSn2Hg
_cell_length_a 5.125
_cell_length_b 5.125
_cell_length_c 5.152
_cell_angle_alpha 90.00
_cell_angle_beta 90.00
_cell_angle_gamma 90.00
_space_group_name_H-M_alt 'P 4/m m m'
_space_group_IT_number 123
_space_group_name_Hall '-P 4 2'
loop_
_atom_site_label
_atom_site_type_symbol
_atom_site_fract_x
_atom_site_fract_y
_atom_site_fract_z
_atom_site_occupancy
In1 In 0.000 0.000 0.000 1
Cu1 Cu 0.000 0.000 0.500 1
Sn1 Sn 0.000 0.500 0.500 1
Hg1 Hg 0.500 0.500 0.000 1
```

Summary:
The value obtained for the energy of formation from the pure elements is 0.954 eV/f.u.

Record 12
A plane-wave DFT calculation with PBE was carried out for crystalline InCuSnHg2 at its relaxed geometry.

Geometry as CIF:
```
data_InCuSnHg2
_cell_length_a 5.105
_cell_length_b 5.105
_cell_length_c 5.162
_cell_angle_alpha 90.00
_cell_angle_beta 90.00
_cell_angle_gamma 90.00
_space_group_name_H-M_alt 'P 4/m m m'
_space_group_IT_number 123
_space_group_name_Hall '-P 4 2'
loop_
_atom_site_label
_atom_site_type_symbol
_atom_site_fract_x
_atom_site_fract_y
_atom_site_fract_z
_atom_site_occupancy
In1 In 0.000 0.000 0.000 1
Cu1 Cu 0.500 0.500 0.500 1
Sn1 Sn 0.500 0.500 0.000 1
Hg1 Hg 0.000 0.500 0.500 1
```

Summary:
The value obtained for the energy of formation from the pure elements is 0.900 eV/f.u.

Record 13
A plane-wave DFT calculation with PBE was carried out for crystalline InCuSnHg2 at its relaxed geometry.

Geometry as CIF:
```
data_InCuSnHg2
_cell_length_a 5.719
_cell_length_b 5.719
_cell_length_c 4.918
_cell_angle_alpha 90.00
_cell_angle_beta 90.00
_cell_angle_gamma 90.00
_space_group_name_H-M_alt 'P 4/m m m'
_space_group_IT_number 123
_space_group_name_Hall '-P 4 2'
loop_
_atom_site_label
_atom_site_type_symbol
_atom_site_fract_x
_atom_site_fract_y
_atom_site_fract_z
_atom_site_occupancy
In1 In 0.000 0.000 0.000 1
Cu1 Cu 0.500 0.500 0.000 1
Sn1 Sn 0.500 0.500 0.500 1
Hg1 Hg 0.000 0.500 0.500 1
```

Summary:
The value obtained for the energy of formation from the pure elements is 1.740 eV/f.u.

Record 14
A plane-wave DFT calculation with PBE was carried out for crystalline In2CuSnHg at its relaxed geometry.

Geometry as CIF:
```
data_In2CuSnHg
_cell_length_a 5.164
_cell_length_b 5.164
_cell_length_c 5.098
_cell_angle_alpha 90.00
_cell_angle_beta 90.00
_cell_angle_gamma 90.00
_space_group_name_H-M_alt 'P 4/m m m'
_space_group_IT_number 123
_space_group_name_Hall '-P 4 2'
loop_
_atom_site_label
_atom_site_type_symbol
_atom_site_fract_x
_atom_site_fract_y
_atom_site_fract_z
_atom_site_occupancy
In1 In 0.000 0.500 0.000 1
Cu1 Cu 0.000 0.000 0.000 1
Sn1 Sn 0.000 0.000 0.500 1
Hg1 Hg 0.500 0.500 0.500 1
```

Summary:
The value obtained for the energy of formation from the pure elements is 0.709 eV/f.u.

Record 15
A plane-wave DFT calculation with PBE was carried out for crystalline Sr2In6CuHg at its relaxed geometry.

Geometry as CIF:
```
data_Sr2In6CuHg
_cell_length_a 7.1252
_cell_length_b 7.1252
_cell_length_c 39.5916
_cell_angle_alpha 90.00
_cell_angle_beta 90.00
_cell_angle_gamma 120.00
_space_group_name_H-M_alt 'R -3 m'
_space_group_IT_number 166
_space_group_name_Hall '-R 3 2"'
loop_
_atom_site_label
_atom_site_type_symbol
_atom_site_fract_x
_atom_site_fract_y
_atom_site_fract_z
_atom_site_occupancy
Sr1 Sr 0.0000 0.0000 0.1042 1
Sr2 Sr 0.0000 0.0000 0.2775 1
In1 In 0.0442 0.5221 0.3036 1
In2 In 0.0526 0.5263 0.8630 1
Cu1 Cu 0.0000 0.0000 0.0000 1
Cu2 Cu 0.0000 0.0000 0.5000 1
Hg1 Hg 0.0000 0.0000 0.4250 1
```

Summary:
The value obtained for the energy of formation from the pure elements is -1.727 eV/f.u.

Record 16
A plane-wave DFT calculation with PBE was carried out for crystalline SrInCuHg2 at its relaxed geometry.

Geometry as CIF:
```
data_SrInCuHg2
_cell_length_a 5.169
_cell_length_b 5.169
_cell_length_c 5.076
_cell_angle_alpha 90.00
_cell_angle_beta 90.00
_cell_angle_gamma 90.00
_space_group_name_H-M_alt 'P 4/m m m'
_space_group_IT_number 123
_space_group_name_Hall '-P 4 2'
loop_
_atom_site_label
_atom_site_type_symbol
_atom_site_fract_x
_atom_site_fract_y
_atom_site_fract_z
_atom_site_occupancy
Sr1 Sr 0.000 0.000 0.000 1
In1 In 0.500 0.500 0.000 1
Cu1 Cu 0.500 0.500 0.500 1
Hg1 Hg 0.000 0.500 0.500 1
```

Summary:
The value obtained for the energy of formation from the pure elements is -0.758 eV/f.u.

Record 17
A plane-wave DFT calculation with PBE was carried out for crystalline Sr2InCuHg at its relaxed geometry.

Geometry as CIF:
```
data_Sr2InCuHg
_cell_length_a 6.338
_cell_length_b 6.338
_cell_length_c 4.852
_cell_angle_alpha 90.00
_cell_angle_beta 90.00
_cell_angle_gamma 90.00
_space_group_name_H-M_alt 'P 4/m m m'
_space_group_IT_number 123
_space_group_name_Hall '-P 4 2'
loop_
_atom_site_label
_atom_site_type_symbol
_atom_site_fract_x
_atom_site_fract_y
_atom_site_fract_z
_atom_site_occupancy
Sr1 Sr 0.000 0.500 0.000 1
In1 In 0.000 0.000 0.000 1
Cu1 Cu 0.000 0.000 0.500 1
Hg1 Hg 0.500 0.500 0.500 1
```

Summary:
The value obtained for the energy of formation from the pure elements is 0.248 eV/f.u.

Record 18
A plane-wave DFT calculation with PBE was carried out for crystalline SrIn2CuHg at its relaxed geometry.

Geometry as CIF:
```
data_SrIn2CuHg
_cell_length_a 5.140
_cell_length_b 5.140
_cell_length_c 5.186
_cell_angle_alpha 90.00
_cell_angle_beta 90.00
_cell_angle_gamma 90.00
_space_group_name_H-M_alt 'P 4/m m m'
_space_group_IT_number 123
_space_group_name_Hall '-P 4 2'
loop_
_atom_site_label
_atom_site_type_symbol
_atom_site_fract_x
_atom_site_fract_y
_atom_site_fract_z
_atom_site_occupancy
Sr1 Sr 0.000 0.000 0.000 1
In1 In 0.000 0.500 0.500 1
Cu1 Cu 0.500 0.500 0.500 1
Hg1 Hg 0.500 0.500 0.000 1
```

Summary:
The value obtained for the energy of formation from the pure elements is -0.634 eV/f.u.

Record 19
A plane-wave DFT calculation with PBE was carried out for crystalline TbInCuHg at its relaxed geometry.

Geometry as CIF:
```
data_TbInCuHg
_cell_length_a 7.010
_cell_length_b 7.010
_cell_length_c 7.010
_cell_angle_alpha 90.00
_cell_angle_beta 90.00
_cell_angle_gamma 90.00
_space_group_name_H-M_alt 'F -4 3 m'
_space_group_IT_number 216
_space_group_name_Hall 'F -4 2 3'
loop_
_atom_site_label
_atom_site_type_symbol
_atom_site_fract_x
_atom_site_fract_y
_atom_site_fract_z
_atom_site_occupancy
Tb1 Tb 0.000 0.000 0.000 1
In1 In 0.000 0.000 0.500 1
Cu1 Cu 0.250 0.250 0.750 1
Hg1 Hg 0.250 0.250 0.250 1
```

Summary:
The value obtained for the energy of formation from the pure elements is -1.122 eV/f.u.

Record 20
A plane-wave DFT calculation with PBE was carried out for crystalline ThInCuHg at its relaxed geometry.

Geometry as CIF:
```
data_ThInCuHg
_cell_length_a 7.166
_cell_length_b 7.166
_cell_length_c 7.166
_cell_angle_alpha 90.00
_cell_angle_beta 90.00
_cell_angle_gamma 90.00
_space_group_name_H-M_alt 'F -4 3 m'
_space_group_IT_number 216
_space_group_name_Hall 'F -4 2 3'
loop_
_atom_site_label
_atom_site_type_symbol
_atom_site_fract_x
_atom_site_fract_y
_atom_site_fract_z
_atom_site_occupancy
Th1 Th 0.000 0.000 0.000 1
In1 In 0.000 0.000 0.500 1
Cu1 Cu 0.250 0.250 0.250 1
Hg1 Hg 0.250 0.250 0.750 1
```

Summary:
The value obtained for the energy of formation from the pure elements is -0.685 eV/f.u.